A relaxed structure of LiNdHoGa. Source: Alexandria via LeMat-Bulk, functional GGA-PBE.

Calculated values
Total energy ... -15.48 eV per cell
Formation enthalpy at 0 K ... -0.30 eV per atom
DOS at the Fermi energy ... 3.77 states/eV per cell
Calculated volume ... 24.4 A^3/atom
Space-group type ... No. 216

Structure (POSCAR):
```
LiNdHoGa
1.0
-4.1626 3.0416 0.3922
-4.7113 -2.0994 0.3576
-2.6095 0.2485 4.4566
Nd Ho Ga Li
1 1 1 1
Cartesian
-8.6126 0.8930 3.9048 Nd
-2.8709 0.2977 1.3016 Ho
-5.7417 0.5953 2.6032 Ga
0.0000 0.0000 0.0000 Li
```